Entry 1:
Computed, not measured: a geometry-optimized SrNi3Mo structure at the PBE level of DFT.

a b c (Å): 4.6436 4.6436 4.6436
angles (deg): 90.00 90.00 90.00
Last column: nearest neighbours and their distance in Å.
Sites, in units of the cell vectors:
1 Sr 0.0000 0.0000 0.0000  12 Ni 3.28
2 Ni 0.0000 0.5000 0.5000  2 Mo 2.32
3 Ni 0.5000 0.0000 0.5000  2 Mo 2.32
4 Ni 0.5000 0.5000 0.0000  2 Mo 2.32
5 Mo 0.5000 0.5000 0.5000  6 Ni 2.32

Properties
VASP energy (eV per formula unit): -26.79
D(E_F) (states/eV/atom): 1.211
Relative energy among the computed polymorphs (eV/atom): 0.0000
SG: Pm-3m
ΔH_f (0 K) (eV per atom): 0.6127

Entry 2:
Computed, not measured: a geometry-optimized SrNiMo structure at the PBE level of DFT.

a b c (Å): 4.0231 4.0231 10.1761
angles (deg): 90.00 90.00 120.00
Last column: nearest neighbours and their distance in Å.
Sites, in units of the cell vectors:
1 Sr 0.0000 0.0000 0.0000  6 Ni 3.44, 6 Mo 3.44
2 Sr 0.0000 0.0000 0.5000  6 Mo 3.44, 6 Ni 3.44
3 Ni 0.3333 0.6667 0.2500  3 Mo 2.32
4 Ni 0.6667 0.3333 0.7500  3 Mo 2.32
5 Mo 0.3333 0.6667 0.7500  3 Ni 2.32
6 Mo 0.6667 0.3333 0.2500  3 Ni 2.32

Properties
VASP energy (eV per formula unit): -16.55
D(E_F) (states/eV/atom): 0.621
Relative energy among the computed polymorphs (eV/atom): 0.3070
SG: P6_3/mmc
ΔH_f (0 K) (eV per atom): 0.5824

Entry 3:
Computed, not measured: a geometry-optimized Sr2NiMo structure at the PBE level of DFT.

a b c (Å): 11.2402 11.2402 4.5758
angles (deg): 90.00 90.00 90.00
Last column: nearest neighbours and their distance in Å.
Sites, in units of the cell vectors:
1 Sr 0.0763 0.2500 0.1250  2 Ni 2.99
2 Sr 0.2500 0.5763 0.3750  2 Ni 2.99
3 Sr 0.2500 0.9237 0.8750  2 Ni 2.99
4 Sr 0.4237 0.2500 0.6250  2 Ni 2.99
5 Sr 0.5763 0.7500 0.6250  2 Ni 2.99
6 Sr 0.7500 0.0763 0.8750  2 Ni 2.99
7 Sr 0.7500 0.4237 0.3750  2 Ni 2.99
8 Sr 0.9237 0.7500 0.1250  2 Ni 2.99
9 Ni 0.0000 0.0000 0.0000  2 Mo 2.29
10 Ni 0.0000 0.5000 0.2500  2 Mo 2.29
11 Ni 0.5000 0.0000 0.7500  2 Mo 2.29
12 Ni 0.5000 0.5000 0.5000  2 Mo 2.29
13 Mo 0.0000 0.0000 0.5000  2 Ni 2.29
14 Mo 0.0000 0.5000 0.7500  2 Ni 2.29
15 Mo 0.5000 0.0000 0.2500  2 Ni 2.29
16 Mo 0.5000 0.5000 0.0000  2 Ni 2.29

Properties
VASP energy (eV per formula unit): -16.99
D(E_F) (states/eV/atom): 0.865
Relative energy among the computed polymorphs (eV/atom): 0.2166
SG: I-42d
ΔH_f (0 K) (eV per atom): 0.7459

Entry 4:
Computed, not measured: a geometry-optimized SrNiMo structure at the PBE level of DFT.

a b c (Å): 5.4872 5.4872 8.8909
angles (deg): 90.00 90.00 120.00
Last column: nearest neighbours and their distance in Å.
Sites, in units of the cell vectors:
1 Sr 0.3333 0.6667 0.2500  3 Mo 3.17
2 Sr 0.6667 0.3333 0.7500  3 Mo 3.17
3 Ni 0.0000 0.0000 0.0000  2 Mo 2.22
4 Ni 0.0000 0.0000 0.5000  2 Mo 2.22
5 Mo 0.0000 0.0000 0.2500  2 Ni 2.22
6 Mo 0.0000 0.0000 0.7500  2 Ni 2.22

Properties
VASP energy (eV per formula unit): -13.13
D(E_F) (states/eV/atom): 1.161
Relative energy among the computed polymorphs (eV/atom): 1.4448
SG: P6_3/mmc
ΔH_f (0 K) (eV per atom): 1.7202

Entry 5:
Computed, not measured: a geometry-optimized SrNiMo structure at the PBE level of DFT.

a b c (Å): 5.0387 3.9211 7.8192
angles (deg): 90.00 99.26 90.00
Last column: nearest neighbours and their distance in Å.
Sites, in units of the cell vectors:
1 Sr 0.2103 0.2500 0.3264  3 Ni 3.02
2 Sr 0.7897 0.7500 0.6736  3 Ni 3.02
3 Ni 0.1293 0.7500 0.0291  2 Ni 2.36, 4 Mo 2.50-2.56
4 Ni 0.8707 0.2500 0.9709  2 Ni 2.36, 4 Mo 2.50-2.56
5 Mo 0.3597 0.2500 0.9177  4 Ni 2.50-2.56, 2 Mo 2.63
6 Mo 0.6403 0.7500 0.0823  4 Ni 2.50-2.56, 2 Mo 2.63

Properties
VASP energy (eV per formula unit): -17.45
D(E_F) (states/eV/atom): 1.009
Relative energy among the computed polymorphs (eV/atom): 0.0068
SG: P2_1/m
ΔH_f (0 K) (eV per atom): 0.2822

Entry 6:
Computed, not measured: a geometry-optimized SrNiMo structure at the PBE level of DFT.

a b c (Å): 3.8408 3.8408 19.1498
angles (deg): 90.00 90.00 90.00
Last column: nearest neighbours and their distance in Å.
Sites, in units of the cell vectors:
1 Sr 0.0000 0.0000 0.1604  4 Ni 3.03
2 Sr 0.0000 0.0000 0.8396  4 Ni 3.03
3 Sr 0.5000 0.5000 0.3396  4 Ni 3.03
4 Sr 0.5000 0.5000 0.6604  4 Ni 3.03
5 Ni 0.0000 0.0000 0.4100  4 Mo 2.52-2.64
6 Ni 0.0000 0.0000 0.5900  4 Mo 2.52-2.64
7 Ni 0.5000 0.5000 0.0900  4 Mo 2.52-2.64
8 Ni 0.5000 0.5000 0.9100  4 Mo 2.52-2.64
9 Mo 0.0000 0.5000 0.5050  4 Ni 2.52-2.64, 4 Mo 2.72
10 Mo 0.0000 0.5000 0.9950  4 Ni 2.52-2.64, 4 Mo 2.72
11 Mo 0.5000 0.0000 0.0050  4 Ni 2.52-2.64, 4 Mo 2.72
12 Mo 0.5000 0.0000 0.4950  4 Ni 2.52-2.64, 4 Mo 2.72

Properties
VASP energy (eV per formula unit): -17.40
D(E_F) (states/eV/atom): 1.192
Relative energy among the computed polymorphs (eV/atom): 0.0226
SG: I-4m2
ΔH_f (0 K) (eV per atom): 0.2981

Entry 7:
Computed, not measured: a geometry-optimized Sr2NiMo structure at the PBE level of DFT.

a b c (Å): 3.4098 3.3900 9.2706
angles (deg): 90.00 90.40 90.00
Last column: nearest neighbours and their distance in Å.
Sites, in units of the cell vectors:
1 Sr 0.0000 0.0000 0.0000  1 Mo 3.12, 4 Ni 3.31, 4 Sr 3.39-3.41
2 Sr 0.4748 0.5000 0.5987  1 Ni 3.28, 4 Sr 3.39-3.41, 4 Mo 3.41-3.43
3 Ni 0.5053 0.5000 0.2449  4 Mo 2.45-2.65
4 Mo 0.9651 0.0000 0.3360  4 Ni 2.45-2.65

Properties
VASP energy (eV per formula unit): -17.86
D(E_F) (states/eV/atom): 1.593
Relative energy among the computed polymorphs (eV/atom): 0.0000
SG: Pm
ΔH_f (0 K) (eV per atom): 0.5292

Entry 8:
Computed, not measured: a geometry-optimized SrNiMo structure at the PBE level of DFT.

a b c (Å): 3.7208 4.4398 10.2777
angles (deg): 79.96 89.82 65.25
Last column: nearest neighbours and their distance in Å.
Sites, in units of the cell vectors:
1 Sr 0.0000 0.0000 0.0000  5 Ni 3.08-3.22, 1 Mo 3.36
2 Sr 0.3617 0.2870 0.3685  3 Mo 3.13-3.29
3 Ni 0.3348 0.3333 0.7535  5 Mo 2.51-2.69, 3 Ni 2.52
4 Ni 0.6523 0.6980 0.8143  3 Ni 2.52, 3 Mo 2.52-2.54
5 Mo 0.9999 0.0056 0.6723  3 Mo 2.45-2.74, 5 Ni 2.51-2.68
6 Mo 0.6979 0.6114 0.5774  3 Mo 2.45-2.74, 3 Ni 2.52-2.69

Properties
VASP energy (eV per formula unit): -17.23
D(E_F) (states/eV/atom): 1.261
Relative energy among the computed polymorphs (eV/atom): 0.0800
SG: P1
ΔH_f (0 K) (eV per atom): 0.3555

Which of these has the highest ΔH_f (0 K)?
number 4

ΔH_f (0 K) of number 4 (SrNiMo)?
1.7202 eV per atom